{"formula": "CrReTc2", "functional": "GGA-PBE", "state": "relaxed", "lattice": [[4.693, -0.008, 0.000], [1.553, 4.428, 0.000], [-3.123, -2.210, 2.717]], "species": ["Re", "Tc", "Tc", "Cr"], "fractional_positions": [[0.750, 0.250, 0.500], [0.500, 0.500, 0.000], [0.000, 0.000, 0.000], [0.250, 0.750, 0.500]], "final_energy_ev_per_atom": -10.5665, "mass_density_g_cm3": 12.8}